1 | # CaHfAs2 (PBE-GGA, relaxed)
# Total moment   0.0 μB/cell
# N(E_F)   0.7 states/eV per cell
# Volume   93 Å³/f.u.
data_CaHfAs2
_chemical_formula_sum 'Ca1 Hf1 As2'
_space_group_name_H-M_alt 'P 1'
_space_group_IT_number 1
_space_group_name_Hall 'P 1'
_cell_length_a 7.340
_cell_length_b 7.340
_cell_length_c 7.340
_cell_angle_alpha 31.06
_cell_angle_beta 31.06
_cell_angle_gamma 31.06
loop_
_atom_site_label
_atom_site_type_symbol
_atom_site_fract_x
_atom_site_fract_y
_atom_site_fract_z
Ca1 Ca 0.000 0.000 0.000
Hf1 Hf 0.171 0.171 0.171
As1 As 0.576 0.576 0.576
As2 As 0.763 0.763 0.763

2 | # CaHfAs2 (PBE-GGA, relaxed)
# Total moment   0.0 μB/cell
# N(E_F)   0.0 states/eV per cell
# Volume   112 Å³/f.u.
data_CaHfAs2
_chemical_formula_sum 'Ca2 Hf2 As4'
_space_group_name_H-M_alt 'P 1'
_space_group_IT_number 1
_space_group_name_Hall 'P 1'
_cell_length_a 6.697
_cell_length_b 6.697
_cell_length_c 6.697
_cell_angle_alpha 115.53
_cell_angle_beta 115.53
_cell_angle_gamma 97.93
loop_
_atom_site_label
_atom_site_type_symbol
_atom_site_fract_x
_atom_site_fract_y
_atom_site_fract_z
Ca1 Ca 0.000 0.000 0.000
Ca2 Ca 0.750 0.250 0.500
Hf1 Hf 0.250 0.750 0.500
Hf2 Hf 0.500 0.500 0.000
As1 As 0.162 0.625 0.037
As2 As 0.375 0.412 0.537
As3 As 0.588 0.125 0.963
As4 As 0.875 0.838 0.463

3 | # CaHfAs2 (PBE-GGA, relaxed)
# Total moment   0.0 μB/cell
# N(E_F)   2.7 states/eV per cell
# Volume   84 Å³/f.u.
data_CaHfAs2
_chemical_formula_sum 'Ca1 Hf1 As2'
_space_group_name_H-M_alt 'P 1'
_space_group_IT_number 1
_space_group_name_Hall 'P 1'
_cell_length_a 4.913
_cell_length_b 4.913
_cell_length_c 4.913
_cell_angle_alpha 60.00
_cell_angle_beta 60.00
_cell_angle_gamma 60.00
loop_
_atom_site_label
_atom_site_type_symbol
_atom_site_fract_x
_atom_site_fract_y
_atom_site_fract_z
Ca1 Ca 0.000 0.000 0.000
Hf1 Hf 0.500 0.500 0.500
As1 As 0.250 0.250 0.250
As2 As 0.750 0.750 0.750

4 | # CaHfAs2 (PBE-GGA, relaxed)
# Total moment   0.0 μB/cell
# N(E_F)   0.7 states/eV per cell
# Volume   92 Å³/f.u.
data_CaHfAs2
_chemical_formula_sum 'Ca1 Hf1 As2'
_space_group_name_H-M_alt 'P 1'
_space_group_IT_number 1
_space_group_name_Hall 'P 1'
_cell_length_a 7.173
_cell_length_b 7.173
_cell_length_c 7.173
_cell_angle_alpha 31.95
_cell_angle_beta 31.95
_cell_angle_gamma 31.95
loop_
_atom_site_label
_atom_site_type_symbol
_atom_site_fract_x
_atom_site_fract_y
_atom_site_fract_z
Ca1 Ca 0.000 0.000 0.000
Hf1 Hf 0.500 0.500 0.500
As1 As 0.241 0.241 0.241
As2 As 0.759 0.759 0.759

Stability, highest: 4

1 | # CaHf3As (PBE-GGA, relaxed)
# Total moment   0.0 μB/cell
# N(E_F)   4.8 states/eV per cell
# Volume   131 Å³/f.u.
data_CaHf3As
_chemical_formula_sum 'Ca1 Hf3 As1'
_space_group_name_H-M_alt 'P 1'
_space_group_IT_number 1
_space_group_name_Hall 'P 1'
_cell_length_a 5.082
_cell_length_b 5.082
_cell_length_c 5.082
_cell_angle_alpha 90.00
_cell_angle_beta 90.00
_cell_angle_gamma 90.00
loop_
_atom_site_label
_atom_site_type_symbol
_atom_site_fract_x
_atom_site_fract_y
_atom_site_fract_z
Ca1 Ca 0.000 0.000 0.000
Hf1 Hf 0.000 0.500 0.500
Hf2 Hf 0.500 0.000 0.500
Hf3 Hf 0.500 0.500 0.000
As1 As 0.500 0.500 0.500

2 | # CaHf3As (PBE-GGA, relaxed)
# Total moment   0.0 μB/cell
# N(E_F)   9.3 states/eV per cell
# Volume   127 Å³/f.u.
data_CaHf3As
_chemical_formula_sum 'Ca1 Hf3 As1'
_space_group_name_H-M_alt 'P 1'
_space_group_IT_number 1
_space_group_name_Hall 'P 1'
_cell_length_a 5.030
_cell_length_b 5.030
_cell_length_c 5.030
_cell_angle_alpha 90.00
_cell_angle_beta 90.00
_cell_angle_gamma 90.00
loop_
_atom_site_label
_atom_site_type_symbol
_atom_site_fract_x
_atom_site_fract_y
_atom_site_fract_z
Ca1 Ca 0.000 0.000 0.000
Hf1 Hf 0.000 0.000 0.500
Hf2 Hf 0.000 0.500 0.000
Hf3 Hf 0.500 0.000 0.000
As1 As 0.500 0.500 0.500

Stability, highest: 1

1 | # CaHfAs2Se (PBE-GGA, relaxed)
# Total moment   0.0 μB/cell
# N(E_F)   4.6 states/eV per cell
# Volume   138 Å³/f.u.
data_CaHfAs2Se
_chemical_formula_sum 'Ca1 Hf1 As2 Se1'
_space_group_name_H-M_alt 'P 1'
_space_group_IT_number 1
_space_group_name_Hall 'P 1'
_cell_length_a 5.166
_cell_length_b 5.166
_cell_length_c 5.172
_cell_angle_alpha 90.00
_cell_angle_beta 90.00
_cell_angle_gamma 90.00
loop_
_atom_site_label
_atom_site_type_symbol
_atom_site_fract_x
_atom_site_fract_y
_atom_site_fract_z
Ca1 Ca 0.000 0.000 0.000
Hf1 Hf 0.500 0.500 0.500
As1 As 0.000 0.500 0.500
As2 As 0.500 0.000 0.500
Se1 Se 0.500 0.500 0.000

2 | # CaHfAs2Se (PBE-GGA, relaxed)
# Total moment   0.0 μB/cell
# N(E_F)   5.3 states/eV per cell
# Volume   136 Å³/f.u.
data_CaHfAs2Se
_chemical_formula_sum 'Ca1 Hf1 As2 Se1'
_space_group_name_H-M_alt 'P 1'
_space_group_IT_number 1
_space_group_name_Hall 'P 1'
_cell_length_a 5.129
_cell_length_b 5.129
_cell_length_c 5.175
_cell_angle_alpha 90.00
_cell_angle_beta 90.00
_cell_angle_gamma 90.00
loop_
_atom_site_label
_atom_site_type_symbol
_atom_site_fract_x
_atom_site_fract_y
_atom_site_fract_z
Ca1 Ca 0.000 0.000 0.000
Hf1 Hf 0.500 0.500 0.500
As1 As 0.000 0.500 0.000
As2 As 0.500 0.000 0.000
Se1 Se 0.000 0.000 0.500

Stability, highest: 1